Record 1
Density functional theory data (PBE) for a geometry-optimized La2BeRu structure.

Cell: 4.8671 4.8671 4.8671 Å, 60.00 60.00 60.00°
Sites, in units of the cell vectors:
Ru  0.7500  0.7500  0.7500
Be  0.5000  0.5000  0.5000
La  0.0000  0.0000  0.0000
La  0.2500  0.2500  0.2500

Record 2
Density functional theory data (PBE) for a geometry-optimized LaBe4Ru4 structure.

Cell: 4.3678 7.6584 7.6584 Å, 90.00 90.00 90.00°
Sites, in units of the cell vectors:
Ru  0.4001  0.6202  0.1264
Ru  0.9001  0.6264  0.8798
Ru  0.5999  0.8736  0.6202
Ru  0.4001  0.3798  0.8736
Ru  0.0999  0.8798  0.3736
Ru  0.0999  0.1202  0.6264
Ru  0.9001  0.3736  0.1202
Ru  0.5999  0.1264  0.3798
Be  0.5911  0.8427  0.2989
Be  0.9089  0.3427  0.7989
Be  0.5911  0.1573  0.7011
Be  0.4089  0.7011  0.8427
Be  0.0911  0.7989  0.6573
Be  0.4089  0.2989  0.1573
Be  0.9089  0.6573  0.2011
Be  0.0911  0.2011  0.3427
La  0.0000  0.0000  0.0000
La  0.5000  0.5000  0.5000

Record 3
Density functional theory data (PBE) for a geometry-optimized LaBeRu2 structure.

Cell: 3.0888 3.0888 6.9280 Å, 90.00 90.00 90.05°
Sites, in units of the cell vectors:
Be  0.5000  0.5000  0.2500
La  0.5000  0.5000  0.7500
Ru  0.0000  0.0000  0.0744
Ru  0.0000  0.0000  0.4256

Number 1: energy -5.561 eV/atom. Number 2: energy -6.493 eV/atom. Number 3: energy -6.645 eV/atom.